# CdCuNi2C, relaxed, DFT GGA-PBE
data_CdCuNi2C
_chemical_formula_sum 'Cd1 Cu1 Ni2 C1'
_cell_length_a 3.858
_cell_length_b 3.858
_cell_length_c 3.969
_cell_angle_alpha 90.00
_cell_angle_beta 90.00
_cell_angle_gamma 90.00
_space_group_name_H-M_alt 'P 1'
_space_group_IT_number 1
loop_
_space_group_symop_operation_xyz
'x,y,z'
loop_
_atom_site_label
_atom_site_type_symbol
_atom_site_fract_x
_atom_site_fract_y
_atom_site_fract_z
Cd1 Cd 0.000 0.000 0.000
Cu1 Cu 0.500 0.500 0.000
Ni1 Ni 0.000 0.500 0.500
Ni2 Ni 0.500 0.000 0.500
C1 C 0.500 0.500 0.500
# V (Å³/cell): 59.1
# SG: P4/mmm (123)
# D(E_F) (states/eV per atom): 0.457
# Calculated density (g/cm³): 8.6
# ΔE_f (eV per atom): 0.12

# Ac5PdPb2N, relaxed, DFT GGA-PBE
data_Ac5PdPb2N
_chemical_formula_sum 'Ac10 Pd2 Pb4 N2'
_cell_length_a 10.067
_cell_length_b 10.067
_cell_length_c 13.528
_cell_angle_alpha 90.00
_cell_angle_beta 90.00
_cell_angle_gamma 152.71
_space_group_name_H-M_alt 'P 1'
_space_group_IT_number 1
loop_
_space_group_symop_operation_xyz
'x,y,z'
loop_
_atom_site_label
_atom_site_type_symbol
_atom_site_fract_x
_atom_site_fract_y
_atom_site_fract_z
Ac1 Ac 0.012 0.988 0.500
Ac2 Ac 0.162 0.838 0.744
Ac3 Ac 0.166 0.834 0.120
Ac4 Ac 0.217 0.783 0.418
Ac5 Ac 0.474 0.526 0.729
Ac6 Ac 0.526 0.474 0.229
Ac7 Ac 0.783 0.217 0.918
Ac8 Ac 0.834 0.166 0.620
Ac9 Ac 0.838 0.162 0.244
Ac10 Ac 0.988 0.012 0.000
Pd1 Pd 0.314 0.686 0.778
Pd2 Pd 0.686 0.314 0.278
Pb1 Pb 0.366 0.634 0.064
Pb2 Pb 0.393 0.607 0.421
Pb3 Pb 0.607 0.393 0.921
Pb4 Pb 0.634 0.366 0.564
N1 N 0.042 0.958 0.158
N2 N 0.958 0.042 0.658
# V (Å³/cell): 628.7
# SG: Cmc2_1 (36)
# D(E_F) (states/eV per atom): 0.632
# Formation energy without anion corrections (eV/atom): -0.687
# Calculated density (g/cm³): 8.8

# Li2In3Ag8, relaxed, DFT GGA-PBE
data_Li2In3Ag8
_chemical_formula_sum 'Li2 In3 Ag8'
_cell_length_a 11.416
_cell_length_b 11.416
_cell_length_c 11.416
_cell_angle_alpha 27.98
_cell_angle_beta 27.98
_cell_angle_gamma 27.98
_space_group_name_H-M_alt 'P 1'
_space_group_IT_number 1
loop_
_space_group_symop_operation_xyz
'x,y,z'
loop_
_atom_site_label
_atom_site_type_symbol
_atom_site_fract_x
_atom_site_fract_y
_atom_site_fract_z
Li1 Li 0.106 0.106 0.106
Li2 Li 0.894 0.894 0.894
In1 In 0.270 0.270 0.270
In2 In 0.500 0.500 0.500
In3 In 0.730 0.730 0.730
Ag1 Ag 0.185 0.185 0.185
Ag2 Ag 0.205 0.205 0.701
Ag3 Ag 0.205 0.701 0.205
Ag4 Ag 0.299 0.795 0.795
Ag5 Ag 0.701 0.205 0.205
Ag6 Ag 0.795 0.299 0.795
Ag7 Ag 0.795 0.795 0.299
Ag8 Ag 0.815 0.815 0.815
# V (Å³/cell): 289.2
# SG: R-3m (166)
# D(E_F) (states/eV per atom): 0.187
# Calculated density (g/cm³): 7.0
# ΔE_f (eV per atom): 0.06

# TeRh3W, relaxed, DFT GGA-PBE
data_TeRh3W
_chemical_formula_sum 'Te1 Rh3 W1'
_cell_length_a 4.745
_cell_length_b 4.745
_cell_length_c 4.745
_cell_angle_alpha 90.00
_cell_angle_beta 90.00
_cell_angle_gamma 90.00
_space_group_name_H-M_alt 'P 1'
_space_group_IT_number 1
loop_
_space_group_symop_operation_xyz
'x,y,z'
loop_
_atom_site_label
_atom_site_type_symbol
_atom_site_fract_x
_atom_site_fract_y
_atom_site_fract_z
Te1 Te 0.000 0.000 0.000
Rh1 Rh 0.000 0.500 0.500
Rh2 Rh 0.500 0.000 0.500
Rh3 Rh 0.500 0.500 0.000
W1 W 0.500 0.500 0.500
# V (Å³/cell): 106.9
# SG: Pm-3m (221)
# D(E_F) (states/eV per atom): 0.813
# Formation energy without anion corrections (eV/atom): 0.988
# Offset from the most stable computed form (eV/atom): 0.0000
# Calculated density (g/cm³): 9.6

# GaSbTe2C, relaxed, DFT GGA-PBE
data_GaSbTe2C
_chemical_formula_sum 'Ga1 Sb1 Te2 C1'
_cell_length_a 4.946
_cell_length_b 4.946
_cell_length_c 4.710
_cell_angle_alpha 90.00
_cell_angle_beta 90.00
_cell_angle_gamma 90.00
_space_group_name_H-M_alt 'P 1'
_space_group_IT_number 1
loop_
_space_group_symop_operation_xyz
'x,y,z'
loop_
_atom_site_label
_atom_site_type_symbol
_atom_site_fract_x
_atom_site_fract_y
_atom_site_fract_z
Ga1 Ga 0.000 0.000 0.000
Sb1 Sb 0.500 0.500 0.000
Te1 Te 0.000 0.500 0.500
Te2 Te 0.500 0.000 0.500
C1 C 0.500 0.500 0.500
# V (Å³/cell): 115.2
# SG: P4/mmm (123)
# D(E_F) (states/eV per atom): 0.816
# Formation energy without anion corrections (eV/atom): 0.915
# Offset from the most stable computed form (eV/atom): 0.0000
# Calculated density (g/cm³): 6.6

# PmScSb, relaxed, DFT GGA-PBE
data_PmScSb
_chemical_formula_sum 'Pm1 Sc1 Sb1'
_cell_length_a 6.022
_cell_length_b 6.022
_cell_length_c 6.022
_cell_angle_alpha 142.34
_cell_angle_beta 142.34
_cell_angle_gamma 54.32
_space_group_name_H-M_alt 'P 1'
_space_group_IT_number 1
loop_
_space_group_symop_operation_xyz
'x,y,z'
loop_
_atom_site_label
_atom_site_type_symbol
_atom_site_fract_x
_atom_site_fract_y
_atom_site_fract_z
Pm1 Pm 0.000 0.000 0.000
Sc1 Sc 0.696 0.696 0.000
Sb1 Sb 0.320 0.320 0.000
# V (Å³/cell): 81.0
# SG: I4mm (107)
# D(E_F) (states/eV per atom): 0.734
# Formation energy without anion corrections (eV/atom): -0.603
# Offset from the most stable computed form (eV/atom): 0.2777
# Calculated density (g/cm³): 6.4

# La6Ir2Cl3F, relaxed, DFT GGA-PBE
data_La6Ir2Cl3F
_chemical_formula_sum 'La6 Ir2 Cl3 F1'
_cell_length_a 7.071
_cell_length_b 7.071
_cell_length_c 7.942
_cell_angle_alpha 98.55
_cell_angle_beta 98.55
_cell_angle_gamma 119.99
_space_group_name_H-M_alt 'P 1'
_space_group_IT_number 1
loop_
_space_group_symop_operation_xyz
'x,y,z'
loop_
_atom_site_label
_atom_site_type_symbol
_atom_site_fract_x
_atom_site_fract_y
_atom_site_fract_z
La1 La 0.069 0.402 0.211
La2 La 0.264 0.264 0.783
La3 La 0.402 0.069 0.211
La4 La 0.598 0.931 0.789
La5 La 0.736 0.736 0.217
La6 La 0.931 0.598 0.789
Ir1 Ir 0.335 0.665 0.000
Ir2 Ir 0.665 0.335 0.000
Cl1 Cl 0.180 0.820 0.500
Cl2 Cl 0.500 0.500 0.500
Cl3 Cl 0.820 0.180 0.500
F1 F 0.000 0.000 0.000
# V (Å³/cell): 328.3
# SG: C2/m (12)
# D(E_F) (states/eV per atom): 0.701
# Formation energy without anion corrections (eV/atom): -1.526
# Calculated density (g/cm³): 6.8

# CuMoPS2, relaxed, DFT GGA-PBE
data_CuMoPS2
_chemical_formula_sum 'Cu1 Mo1 P1 S2'
_cell_length_a 4.469
_cell_length_b 4.469
_cell_length_c 4.457
_cell_angle_alpha 90.00
_cell_angle_beta 90.00
_cell_angle_gamma 90.00
_space_group_name_H-M_alt 'P 1'
_space_group_IT_number 1
loop_
_space_group_symop_operation_xyz
'x,y,z'
loop_
_atom_site_label
_atom_site_type_symbol
_atom_site_fract_x
_atom_site_fract_y
_atom_site_fract_z
Cu1 Cu 0.000 0.000 0.000
Mo1 Mo 0.500 0.500 0.500
P1 P 0.000 0.000 0.500
S1 S 0.000 0.500 0.000
S2 S 0.500 0.000 0.000
# V (Å³/cell): 89.0
# SG: P4/mmm (123)
# D(E_F) (states/eV per atom): 0.551
# Formation energy without anion corrections (eV/atom): 0.937
# Offset from the most stable computed form (eV/atom): 0.4157
# Calculated density (g/cm³): 4.7

# CdTe2F, relaxed, DFT GGA-PBE
data_CdTe2F
_chemical_formula_sum 'Cd1 Te2 F1'
_cell_length_a 6.682
_cell_length_b 6.682
_cell_length_c 6.682
_cell_angle_alpha 145.04
_cell_angle_beta 55.72
_cell_angle_gamma 138.05
_space_group_name_H-M_alt 'P 1'
_space_group_IT_number 1
loop_
_space_group_symop_operation_xyz
'x,y,z'
loop_
_atom_site_label
_atom_site_type_symbol
_atom_site_fract_x
_atom_site_fract_y
_atom_site_fract_z
Cd1 Cd 0.000 0.000 0.000
Te1 Te 0.342 0.104 0.238
Te2 Te 0.867 0.104 0.762
F1 F 0.776 0.276 0.500
# V (Å³/cell): 113.4
# SG: Imm2 (44)
# D(E_F) (states/eV per atom): 0.276
# Formation energy without anion corrections (eV/atom): -0.795
# Offset from the most stable computed form (eV/atom): 0.0599
# Calculated density (g/cm³): 5.7

# HfZnIrRu, relaxed, DFT GGA-PBE
data_HfZnIrRu
_chemical_formula_sum 'Hf1 Zn1 Ir1 Ru1'
_cell_length_a 3.362
_cell_length_b 4.279
_cell_length_c 4.317
_cell_angle_alpha 90.00
_cell_angle_beta 90.00
_cell_angle_gamma 90.00
_space_group_name_H-M_alt 'P 1'
_space_group_IT_number 1
loop_
_space_group_symop_operation_xyz
'x,y,z'
loop_
_atom_site_label
_atom_site_type_symbol
_atom_site_fract_x
_atom_site_fract_y
_atom_site_fract_z
Hf1 Hf 0.000 0.000 0.000
Zn1 Zn 0.000 0.500 0.500
Ir1 Ir 0.500 0.000 0.500
Ru1 Ru 0.500 0.500 0.000
# V (Å³/cell): 62.1
# SG: Pmmm (47)
# D(E_F) (states/eV per atom): 0.738
# Calculated density (g/cm³): 14.4
# ΔE_f (eV per atom): -0.56

# Be8MoOs3, relaxed, DFT GGA-PBE
data_Be8MoOs3
_chemical_formula_sum 'Be8 Mo1 Os3'
_cell_length_a 4.382
_cell_length_b 4.382
_cell_length_c 7.109
_cell_angle_alpha 90.00
_cell_angle_beta 90.00
_cell_angle_gamma 120.00
_space_group_name_H-M_alt 'P 1'
_space_group_IT_number 1
loop_
_space_group_symop_operation_xyz
'x,y,z'
loop_
_atom_site_label
_atom_site_type_symbol
_atom_site_fract_x
_atom_site_fract_y
_atom_site_fract_z
Be1 Be 0.000 0.000 0.000
Be2 Be 0.000 0.000 0.497
Be3 Be 0.169 0.339 0.755
Be4 Be 0.169 0.831 0.755
Be5 Be 0.336 0.168 0.241
Be6 Be 0.661 0.831 0.755
Be7 Be 0.832 0.168 0.241
Be8 Be 0.832 0.664 0.241
Mo1 Mo 0.667 0.333 0.559
Os1 Os 0.333 0.667 0.058
Os2 Os 0.333 0.667 0.446
Os3 Os 0.667 0.333 0.929
# V (Å³/cell): 118.2
# SG: P3m1 (156)
# D(E_F) (states/eV per atom): 0.317
# Calculated density (g/cm³): 10.4
# ΔE_f (eV per atom): -0.34

# TlRh2W, relaxed, DFT GGA-PBE
data_TlRh2W
_chemical_formula_sum 'Tl1 Rh2 W1'
_cell_length_a 6.608
_cell_length_b 6.608
_cell_length_c 6.608
_cell_angle_alpha 154.90
_cell_angle_beta 143.31
_cell_angle_gamma 44.97
_space_group_name_H-M_alt 'P 1'
_space_group_IT_number 1
loop_
_space_group_symop_operation_xyz
'x,y,z'
loop_
_atom_site_label
_atom_site_type_symbol
_atom_site_fract_x
_atom_site_fract_y
_atom_site_fract_z
Tl1 Tl 0.000 0.000 0.000
Rh1 Rh 0.340 0.840 0.500
Rh2 Rh 0.591 0.591 0.000
W1 W 0.764 0.264 0.500
# V (Å³/cell): 72.9
# SG: Imm2 (44)
# D(E_F) (states/eV per atom): 0.864
# Offset from the most stable computed form (eV/atom): 0.3338
# Calculated density (g/cm³): 13.5
# ΔE_f (eV per atom): 0.32